Compound: Hf2ScTl
Source: Alexandria
Functional: PBE
Structure: optimized geometry

volume = 24.26 A^3/atom
crystal system = tetragonal
relative energy among the computed polymorphs = 56.1 kJ per mole of atoms
E_form = 0.486 eV/atom
magnetization = 0.000 μB per atom
electronic total energy = -106.6 eV for the cell shown

Cell: 8.1450 8.1450 5.8518 Å, 90.00 90.00 90.00°
Last column: nearest neighbours and their distance in Å.
Fractional positions:
Hf 0.2369 0.7500 0.1250  2 Tl 2.90, 2 Hf 2.93, 2 Sc 3.04
Hf 0.2500 0.2369 0.8750  2 Tl 2.90, 2 Hf 2.93, 2 Sc 3.04
Hf 0.2500 0.2631 0.3750  2 Tl 2.90, 2 Hf 2.93, 2 Sc 3.04
Hf 0.2631 0.7500 0.6250  2 Tl 2.90, 2 Hf 2.93, 2 Sc 3.04
Hf 0.7369 0.2500 0.6250  2 Tl 2.90, 2 Hf 2.93, 2 Sc 3.04
Hf 0.7500 0.7369 0.3750  2 Tl 2.90, 2 Hf 2.93, 2 Sc 3.04
Hf 0.7500 0.7631 0.8750  2 Tl 2.90, 2 Hf 2.93, 2 Sc 3.04
Hf 0.7631 0.2500 0.1250  2 Tl 2.90, 2 Hf 2.93, 2 Sc 3.04
Sc 0.0000 0.0000 0.5000  2 Tl 2.93, 4 Hf 3.04
Sc 0.0000 0.5000 0.7500  2 Tl 2.93, 4 Hf 3.04
Sc 0.5000 0.0000 0.2500  2 Tl 2.93, 4 Hf 3.04
Sc 0.5000 0.5000 0.0000  2 Tl 2.93, 4 Hf 3.04
Tl 0.0000 0.0000 0.0000  4 Hf 2.90, 2 Sc 2.93
Tl 0.0000 0.5000 0.2500  4 Hf 2.90, 2 Sc 2.93
Tl 0.5000 0.0000 0.7500  4 Hf 2.90, 2 Sc 2.93
Tl 0.5000 0.5000 0.5000  4 Hf 2.90, 2 Sc 2.93